1.
Entry from the Open Quantum Materials Database: an optimized crystal structure of Zr3As5Au (PBE).

a b c (Å): 6.3565 6.3565 6.1817
angles (deg): 90.00 90.00 120.00
Sites, in units of the cell vectors:
Zr  0.0000  0.5000  0.0000
Zr  0.5000  0.0000  0.0000
Zr  0.5000  0.5000  0.0000
As  0.0000  0.0000  0.0000
As  0.3333  0.6667  0.3096
As  0.3333  0.6667  0.6904
As  0.6667  0.3333  0.3096
As  0.6667  0.3333  0.6904
Au  0.0000  0.0000  0.5000



2.
Entry from the Open Quantum Materials Database: an optimized crystal structure of ZrAs2Au2 (PBE).

a b c (Å): 6.8179 6.8179 6.8179
angles (deg): 146.66 146.66 47.87
Sites, in units of the cell vectors:
Zr  0.0000  0.0000  0.0000
As  0.4014  0.4014  0.0000
As  0.5986  0.5986  0.0000
Au  0.2500  0.7500  0.5000
Au  0.7500  0.2500  0.5000



3.
Entry from the Open Quantum Materials Database: an optimized crystal structure of Zr3AsAu (PBE).

a b c (Å): 6.1477 6.1477 9.9237
angles (deg): 90.00 90.00 144.92
Sites, in units of the cell vectors:
Zr  0.0612  0.9388  0.7500
Zr  0.3498  0.6502  0.5662
Zr  0.3498  0.6502  0.9338
Zr  0.6502  0.3498  0.0662
Zr  0.6502  0.3498  0.4338
Zr  0.9388  0.0612  0.2500
As  0.0000  0.0000  0.0000
As  0.0000  0.0000  0.5000
Au  0.2545  0.7455  0.2500
Au  0.7455  0.2545  0.7500



4.
Entry from the Open Quantum Materials Database: an optimized crystal structure of Zr2AsAu (PBE).

a b c (Å): 9.3362 9.3362 5.1370
angles (deg): 90.00 90.00 158.23
Sites, in units of the cell vectors:
Zr  0.0777  0.9223  0.7500
Zr  0.2938  0.7062  0.7500
Zr  0.7062  0.2938  0.2500
Zr  0.9223  0.0777  0.2500
As  0.3143  0.6857  0.2500
As  0.6857  0.3143  0.7500
Au  0.4532  0.5468  0.7500
Au  0.5468  0.4532  0.2500



5.
Entry from the Open Quantum Materials Database: an optimized crystal structure of BaBAsIr2 (PBE).

a b c (Å): 6.7443 6.7443 6.7443
angles (deg): 145.34 145.34 49.83
Sites, in units of the cell vectors:
Ba  0.0000  0.0000  0.0000
B  0.6743  0.6743  0.0000
As  0.3545  0.3545  0.0000
Ir  0.2361  0.7361  0.5000
Ir  0.7361  0.2361  0.5000



6.
Entry from the Open Quantum Materials Database: an optimized crystal structure of Ho2Ni2B2AsC (PBE).

a b c (Å): 3.8277 3.8277 7.7248
angles (deg): 90.00 90.00 90.00
Sites, in units of the cell vectors:
Ho  0.0000  0.0000  0.0000
Ho  0.5000  0.5000  0.3400
Ni  0.0000  0.5000  0.7066
Ni  0.5000  0.0000  0.7066
B  0.0000  0.0000  0.6356
B  0.5000  0.5000  0.8435
As  0.0000  0.0000  0.3681
C  0.5000  0.5000  0.0374



7.
Entry from the Open Quantum Materials Database: an optimized crystal structure of Y2Ni2B2AsC (PBE).

a b c (Å): 3.8436 3.8436 7.7334
angles (deg): 90.00 90.00 90.00
Sites, in units of the cell vectors:
Y  0.0000  0.0000  0.0000
Y  0.5000  0.5000  0.3403
Ni  0.0000  0.5000  0.7048
Ni  0.5000  0.0000  0.7048
B  0.0000  0.0000  0.6381
B  0.5000  0.5000  0.8414
As  0.0000  0.0000  0.3709
C  0.5000  0.5000  0.0352



8.
Entry from the Open Quantum Materials Database: an optimized crystal structure of CdBAs2 (PBE).

a b c (Å): 4.6543 4.6543 4.6543
angles (deg): 60.00 60.00 60.00
Sites, in units of the cell vectors:
Cd  0.0000  0.0000  0.0000
B  0.7500  0.7500  0.7500
As  0.2500  0.2500  0.2500
As  0.5000  0.5000  0.5000



9.
Entry from the Open Quantum Materials Database: an optimized crystal structure of Cd2B3As3 (PBE).

a b c (Å): 11.7938 11.7938 11.7938
angles (deg): 163.58 163.58 23.31
Sites, in units of the cell vectors:
Cd  0.1008  0.1008  0.0000
Cd  0.8992  0.8992  0.0000
B  0.0000  0.0000  0.0000
B  0.2500  0.7500  0.5000
B  0.7500  0.2500  0.5000
As  0.3092  0.3092  0.0000
As  0.5000  0.5000  0.0000
As  0.6908  0.6908  0.0000



10.
Entry from the Open Quantum Materials Database: an optimized crystal structure of CdBAs (PBE).

a b c (Å): 4.3717 4.3717 4.3717
angles (deg): 60.00 60.00 60.00
Sites, in units of the cell vectors:
Cd  0.0000  0.0000  0.0000
B  0.2500  0.2500  0.2500
As  0.7500  0.7500  0.7500



11.
Entry from the Open Quantum Materials Database: an optimized crystal structure of CdBAs (PBE).

a b c (Å): 4.3936 4.3936 4.3936
angles (deg): 60.00 60.00 60.00
Sites, in units of the cell vectors:
Cd  0.0000  0.0000  0.0000
B  0.5000  0.5000  0.5000
As  0.7500  0.7500  0.7500



12.
Entry from the Open Quantum Materials Database: an optimized crystal structure of CdBAsO (PBE).

a b c (Å): 3.8021 3.8021 8.6923
angles (deg): 90.00 90.00 90.00
Sites, in units of the cell vectors:
Cd  0.2500  0.7500  0.0000
Cd  0.7500  0.2500  0.0000
B  0.2500  0.2500  0.4519
B  0.7500  0.7500  0.5481
As  0.2500  0.2500  0.2135
As  0.7500  0.7500  0.7865
O  0.2500  0.7500  0.5000
O  0.7500  0.2500  0.5000



13.
Entry from the Open Quantum Materials Database: an optimized crystal structure of CdBAsO (PBE).

a b c (Å): 4.0640 4.0640 7.7270
angles (deg): 90.00 90.00 90.00
Sites, in units of the cell vectors:
Cd  0.2500  0.2500  0.1062
Cd  0.7500  0.7500  0.8938
B  0.2500  0.7500  0.5000
B  0.7500  0.2500  0.5000
As  0.2500  0.2500  0.6128
As  0.7500  0.7500  0.3872
O  0.2500  0.7500  0.0000
O  0.7500  0.2500  0.0000



14.
Entry from the Open Quantum Materials Database: an optimized crystal structure of CdBAsO (PBE).

a b c (Å): 3.4867 8.1833 4.5960
angles (deg): 90.00 90.00 90.00
Sites, in units of the cell vectors:
Cd  0.0000  0.1154  0.0000
Cd  0.0000  0.8846  0.5000
B  0.5000  0.4189  0.5745
B  0.5000  0.5811  0.0745
As  0.0000  0.2592  0.4990
As  0.0000  0.7408  0.9990
O  0.5000  0.4502  0.8782
O  0.5000  0.5498  0.3782



15.
Entry from the Open Quantum Materials Database: an optimized crystal structure of CdBAsO (PBE).

a b c (Å): 2.5587 8.1251 5.9318
angles (deg): 90.00 90.00 90.00
Sites, in units of the cell vectors:
Cd  0.0000  0.0887  0.0000
Cd  0.0000  0.9113  0.5000
B  0.5000  0.3606  0.4299
B  0.5000  0.6394  0.9299
As  0.5000  0.3835  0.7941
As  0.5000  0.6165  0.2941
O  0.0000  0.2902  0.3603
O  0.0000  0.7098  0.8603



16.
Entry from the Open Quantum Materials Database: an optimized crystal structure of CoBAs2 (PBE).

a b c (Å): 4.2411 4.2411 4.2411
angles (deg): 60.00 60.00 60.00
Sites, in units of the cell vectors:
Co  0.0000  0.0000  0.0000
B  0.7500  0.7500  0.7500
As  0.2500  0.2500  0.2500
As  0.5000  0.5000  0.5000



17.
Entry from the Open Quantum Materials Database: an optimized crystal structure of Co4B3As (PBE).

a b c (Å): 5.0068 2.8850 5.4407
angles (deg): 90.00 90.10 90.00
Sites, in units of the cell vectors:
Co  0.0000  0.0000  0.0000
Co  0.0024  0.5000  0.4063
Co  0.4862  0.5000  0.4099
Co  0.4886  0.0000  0.9936
B  0.2385  0.0000  0.6429
B  0.2457  0.5000  0.1048
B  0.7431  0.0000  0.2907
As  0.7509  0.5000  0.7559



18.
Entry from the Open Quantum Materials Database: an optimized crystal structure of Tb2DyCo2B2As3 (PBE).

a b c (Å): 11.6491 11.6491 11.6491
angles (deg): 160.55 160.55 27.65
Sites, in units of the cell vectors:
Tb  0.1433  0.1433  0.0000
Tb  0.8567  0.8567  0.0000
Dy  0.5000  0.5000  0.0000
Co  0.2500  0.7500  0.5000
Co  0.7500  0.2500  0.5000
B  0.2818  0.2818  0.0000
B  0.7182  0.7182  0.0000
As  0.0000  0.0000  0.0000
As  0.3755  0.3755  0.0000
As  0.6245  0.6245  0.0000



19.
Entry from the Open Quantum Materials Database: an optimized crystal structure of Dy2YCo2B2As3 (PBE).

a b c (Å): 11.6562 11.6562 11.6562
angles (deg): 160.58 160.58 27.60
Sites, in units of the cell vectors:
Dy  0.1434  0.1434  0.0000
Dy  0.8566  0.8566  0.0000
Y  0.5000  0.5000  0.0000
Co  0.2500  0.7500  0.5000
Co  0.7500  0.2500  0.5000
B  0.2814  0.2814  0.0000
B  0.7186  0.7186  0.0000
As  0.0000  0.0000  0.0000
As  0.3750  0.3750  0.0000
As  0.6250  0.6250  0.0000



20.
Entry from the Open Quantum Materials Database: an optimized crystal structure of Gd2ErCo2B2As3 (PBE).

a b c (Å): 11.6331 11.6331 11.6331
angles (deg): 160.52 160.52 27.68
Sites, in units of the cell vectors:
Gd  0.1430  0.1430  0.0000
Gd  0.8570  0.8570  0.0000
Er  0.5000  0.5000  0.0000
Co  0.2500  0.7500  0.5000
Co  0.7500  0.2500  0.5000
B  0.2822  0.2822  0.0000
B  0.7178  0.7178  0.0000
As  0.0000  0.0000  0.0000
As  0.3762  0.3762  0.0000
As  0.6238  0.6238  0.0000



21.
Entry from the Open Quantum Materials Database: an optimized crystal structure of ErTm2Co2B2As3 (PBE).

a b c (Å): 11.6792 11.6792 11.6792
angles (deg): 160.90 160.90 27.14
Sites, in units of the cell vectors:
Er  0.0000  0.0000  0.0000
Tm  0.3544  0.3544  0.0000
Tm  0.6456  0.6456  0.0000
Co  0.2500  0.7500  0.5000
Co  0.7500  0.2500  0.5000
B  0.2172  0.2172  0.0000
B  0.7828  0.7828  0.0000
As  0.1237  0.1237  0.0000
As  0.5000  0.5000  0.0000
As  0.8763  0.8763  0.0000



22.
Entry from the Open Quantum Materials Database: an optimized crystal structure of Y2ErCo2B2As3 (PBE).

a b c (Å): 11.6582 11.6582 11.6582
angles (deg): 160.67 160.67 27.47
Sites, in units of the cell vectors:
Y  0.1435  0.1435  0.0000
Y  0.8565  0.8565  0.0000
Er  0.5000  0.5000  0.0000
Co  0.2500  0.7500  0.5000
Co  0.7500  0.2500  0.5000
B  0.2820  0.2820  0.0000
B  0.7180  0.7180  0.0000
As  0.0000  0.0000  0.0000
As  0.3760  0.3760  0.0000
As  0.6240  0.6240  0.0000



23.
Entry from the Open Quantum Materials Database: an optimized crystal structure of Nd2GdCo2B2As3 (PBE).

a b c (Å): 11.6696 11.6696 11.6696
angles (deg): 160.12 160.12 28.26
Sites, in units of the cell vectors:
Nd  0.1430  0.1430  0.0000
Nd  0.8570  0.8570  0.0000
Gd  0.5000  0.5000  0.0000
Co  0.2500  0.7500  0.5000
Co  0.7500  0.2500  0.5000
B  0.2809  0.2809  0.0000
B  0.7191  0.7191  0.0000
As  0.0000  0.0000  0.0000
As  0.3746  0.3746  0.0000
As  0.6254  0.6254  0.0000



24.
Entry from the Open Quantum Materials Database: an optimized crystal structure of TbGd2Co2B2As3 (PBE).

a b c (Å): 11.6546 11.6546 11.6546
angles (deg): 160.46 160.46 27.77
Sites, in units of the cell vectors:
Tb  0.0000  0.0000  0.0000
Gd  0.3568  0.3568  0.0000
Gd  0.6432  0.6432  0.0000
Co  0.2500  0.7500  0.5000
Co  0.7500  0.2500  0.5000
B  0.2185  0.2185  0.0000
B  0.7815  0.7815  0.0000
As  0.1249  0.1249  0.0000
As  0.5000  0.5000  0.0000
As  0.8751  0.8751  0.0000



25.
Entry from the Open Quantum Materials Database: an optimized crystal structure of Ho2TmCo2B2As3 (PBE).

a b c (Å): 11.6823 11.6823 11.6823
angles (deg): 160.84 160.84 27.23
Sites, in units of the cell vectors:
Ho  0.1455  0.1455  0.0000
Ho  0.8545  0.8545  0.0000
Tm  0.5000  0.5000  0.0000
Co  0.2500  0.7500  0.5000
Co  0.7500  0.2500  0.5000
B  0.2829  0.2829  0.0000
B  0.7171  0.7171  0.0000
As  0.0000  0.0000  0.0000
As  0.3765  0.3765  0.0000
As  0.6235  0.6235  0.0000



| no. | total DFT energy (no corrections) (eV per cell) |
| --- | --- |
| 1 | -53.93 |
| 2 | -24.73 |
| 3 | -73.23 |
| 4 | -55.56 |
| 5 | -33.74 |
| 6 | -51.50 |
| 7 | -55.24 |
| 8 | -12.68 |
| 9 | -30.00 |
| 10 | -8.54 |
| 11 | -8.83 |
| 12 | -31.16 |
| 13 | -32.91 |
| 14 | -40.39 |
| 15 | -39.57 |
| 16 | -18.98 |
| 17 | -52.95 |
| 18 | -63.02 |
| 19 | -64.84 |
| 20 | -63.04 |
| 21 | -62.59 |
| 22 | -66.70 |
| 23 | -62.95 |
| 24 | -63.06 |
| 25 | -62.79 |